Record 1
# Na2DyGaCl6

Na2DyGaCl6 after structural relaxation (PBE, the Alexandria database).

POSCAR file:
```
Na2DyGaCl6
1.0
-5.284 1.872 4.399
-6.748 -1.581 -1.660
-3.446 -5.573 4.008
Na Dy Ga Cl
2 1 1 6
Cartesian
-7.774 -2.280 3.177 Na
-3.460 -5.418 3.923 Na
-3.995 -0.062 0.999 Dy
-11.714 -2.947 4.508 Ga
-5.482 -0.611 3.114 Cl
-8.446 -2.375 0.422 Cl
-9.733 -0.473 4.146 Cl
-9.506 -4.646 3.618 Cl
-7.274 -3.141 5.970 Cl
-5.986 -4.638 2.990 Cl
```

Calculated values
M_tot (Bohr magnetons per cell): 0.00
DOS at the Fermi energy (states/eV/f.u.): 0.0
E_form (uncorrected) (eV per atom): -1.784

Record 2
# CsAl3Bi3

CsAl3Bi3 after structural relaxation (PBE, the Alexandria database).

POSCAR file:
```
CsAl3Bi3
1.0
8.039 0.000 0.000
0.000 8.039 0.000
0.000 0.000 8.039
Cs Bi Al
2 6 6
Cartesian
4.020 4.020 4.020 Cs
0.000 0.000 0.000 Cs
0.000 2.010 4.020 Bi
0.000 6.029 4.020 Bi
4.020 0.000 6.029 Bi
6.029 4.020 0.000 Bi
4.020 0.000 2.010 Bi
2.010 4.020 0.000 Bi
2.010 0.000 4.020 Al
0.000 4.020 2.010 Al
4.020 6.029 0.000 Al
6.029 0.000 4.020 Al
0.000 4.020 6.029 Al
4.020 2.010 0.000 Al
```

Calculated values
M_tot (Bohr magnetons per cell): 0.00
DOS at the Fermi energy (states/eV/f.u.): 1.9
Energy of formation from the pure elements (eV/atom): 0.00

Record 3
# ScCo2Si

ScCo2Si after structural relaxation (PBE, the Alexandria database).

POSCAR file:
```
ScCo2Si
1.0
2.953 -0.001 0.000
0.001 2.953 0.000
0.000 0.000 6.255
Co Sc Si
2 1 1
Cartesian
0.000 0.000 6.169 Co
1.477 1.476 1.325 Co
0.000 0.000 3.062 Sc
1.477 1.476 5.082 Si
```

Calculated values
M_tot (Bohr magnetons per cell): 1.79
DOS at the Fermi energy (states/eV/f.u.): 6.6
E_form (uncorrected) (eV per atom): -0.246

Record 4
# ScAsIr

ScAsIr after structural relaxation (PBE, the Alexandria database).

POSCAR file:
```
ScAsIr
1.0
-2.515 -1.057 3.351
4.175 0.912 0.636
-0.719 3.008 0.409
Sc As Ir
1 1 1
Cartesian
1.466 2.261 1.813 Sc
-0.120 0.502 0.068 As
-0.405 0.101 2.514 Ir
```

Calculated values
M_tot (Bohr magnetons per cell): 0.00
DOS at the Fermi energy (states/eV/f.u.): 1.5
Energy of formation from the pure elements (eV/atom): -0.89

Record 5
# Tb4PmDyEr2

Tb4PmDyEr2 after structural relaxation (PBE, the Alexandria database).

POSCAR file:
```
Tb4PmDyEr2
1.0
12.233 0.134 -1.202
-0.296 6.694 -2.392
-7.346 -4.815 8.626
Tb Pm Dy Er
8 2 2 4
Cartesian
2.848 5.053 -2.089 Tb
5.427 -0.638 2.804 Tb
-0.835 2.651 2.227 Tb
1.744 -3.039 7.120 Tb
1.599 0.302 5.927 Tb
5.278 2.712 1.604 Tb
-0.686 -0.699 3.427 Tb
2.993 1.711 -0.895 Tb
-0.148 3.347 -1.196 Pm
8.413 1.073 1.915 Pm
2.296 1.007 2.516 Dy
4.888 -4.681 7.424 Dy
6.117 0.067 -0.601 Er
2.444 -2.341 3.712 Er
-3.673 -2.407 4.313 Er
5.969 3.414 -1.797 Er
```

Calculated values
M_tot (Bohr magnetons per cell): 0.00
DOS at the Fermi energy (states/eV/f.u.): 10.0
Energy of formation from the pure elements (eV/atom): 0.01

Record 6
# Pm5SiBi4

Pm5SiBi4 after structural relaxation (PBE, the Alexandria database).

POSCAR file:
```
Pm5SiBi4
1.0
-6.162 -1.151 -1.235
-4.258 -1.713 6.318
-4.550 6.342 0.268
Pm Si Bi
5 1 4
Cartesian
-10.892 3.467 1.510 Pm
-8.035 2.204 4.955 Pm
-6.947 1.272 0.394 Pm
-4.089 0.009 3.839 Pm
-3.089 -0.577 -0.619 Pm
-0.008 -0.002 -0.002 Si
-7.795 3.861 2.218 Bi
-11.064 1.544 4.160 Bi
-3.917 1.932 1.189 Bi
-7.185 -0.385 3.131 Bi
```

Calculated values
M_tot (Bohr magnetons per cell): 0.00
DOS at the Fermi energy (states/eV/f.u.): 3.3
E_form (uncorrected) (eV per atom): -0.830

Record 7
# Pu3P2Ru

Pu3P2Ru after structural relaxation (PBE, the Alexandria database).

POSCAR file:
```
Pu3P2Ru
1.0
-0.981 -0.144 3.932
-5.649 -8.512 -1.722
9.299 -6.592 2.080
Pu P Ru
12 8 4
Cartesian
-2.078 -3.706 0.391 Pu
4.747 -11.542 3.898 Pu
-1.563 -10.748 2.352 Pu
4.232 -4.500 1.937 Pu
-2.220 -7.670 0.210 Pu
4.890 -7.578 4.079 Pu
0.559 -3.802 3.137 Pu
2.111 -11.446 1.153 Pu
0.785 -6.229 1.013 Pu
1.884 -9.018 3.276 Pu
-4.872 -8.897 1.594 Pu
7.541 -6.350 2.695 Pu
0.340 -9.212 0.793 P
2.330 -6.035 3.497 P
-1.756 -1.889 2.629 P
4.425 -13.359 1.660 P
2.522 -2.095 1.598 P
0.147 -13.153 2.691 P
-1.766 -5.733 2.486 P
4.435 -9.515 1.804 P
0.135 -2.053 1.004 Ru
2.534 -13.194 3.285 Ru
-0.869 -8.020 2.626 Ru
3.538 -7.228 1.664 Ru
```

Calculated values
M_tot (Bohr magnetons per cell): 20.20
DOS at the Fermi energy (states/eV/f.u.): 20.0
Energy of formation from the pure elements (eV/atom): -0.76

Record 8
# CdHgTe2

CdHgTe2 after structural relaxation (PBE, the Alexandria database).

POSCAR file:
```
CdHgTe2
1.0
-1.319 -0.574 -4.248
1.941 -3.635 -0.111
-5.618 -3.066 2.159
Te Hg Cd
2 1 1
Cartesian
0.000 0.000 0.000 Te
0.311 -2.104 -2.180 Te
-1.839 -3.350 1.024 Hg
-3.469 -1.820 -1.044 Cd
```

Calculated values
M_tot (Bohr magnetons per cell): 0.00
Energy relative to the lowest polymorph listed for this composition (kJ per mole of atoms): 36.96
DOS at the Fermi energy (states/eV/f.u.): 1.3
E_form (uncorrected) (eV per atom): 0.071